Version 1
The following is a DFT calculation (PBE-GGA) of an optimized crystal structure of Li3CaMg3.

Properties
- D(E_F): 12.1 states/eV/cell
- Symmetry: No. 148
- Crystal system: trigonal

Geometry as POSCAR:
```
Li3CaMg3
1.0
3.851 2.223 6.578
-3.851 2.223 6.578
0.000 -4.447 6.578
Li Ca Mg
6 2 6
direct
0.059 0.275 0.844
0.156 0.941 0.725
0.275 0.844 0.059
0.725 0.156 0.941
0.844 0.059 0.275
0.941 0.725 0.156
0.354 0.354 0.354
0.646 0.646 0.646
0.060 0.740 0.583
0.260 0.417 0.940
0.417 0.940 0.260
0.583 0.060 0.740
0.740 0.583 0.060
0.940 0.260 0.417
```

---

Version 2
The following is a DFT calculation (PBE-GGA) of an optimized crystal structure of Li3CaMg3.

Properties
- D(E_F): 8.5 states/eV/cell
- Symmetry: No. 223
- Crystal system: cubic

Geometry as POSCAR:
```
Li3CaMg3
1.0
7.343 0.000 0.000
0.000 7.343 0.000
0.000 0.000 7.343
Li Ca Mg
6 2 6
direct
0.000 0.250 0.500
0.000 0.750 0.500
0.250 0.500 0.000
0.500 0.000 0.250
0.500 0.000 0.750
0.750 0.500 0.000
0.000 0.000 0.000
0.500 0.500 0.500
0.000 0.500 0.250
0.000 0.500 0.750
0.250 0.000 0.500
0.500 0.250 0.000
0.500 0.750 0.000
0.750 0.000 0.500
```

---

Version 3
The following is a DFT calculation (PBE-GGA) of an optimized crystal structure of Li3CaMg3.

Properties
- D(E_F): 13.4 states/eV/cell
- Symmetry: No. 225
- Crystal system: cubic

Geometry as POSCAR:
```
Li3CaMg3
1.0
0.000 6.506 6.506
6.506 0.000 6.506
6.506 6.506 0.000
Li Ca Mg
6 2 6
direct
0.144 0.144 0.856
0.144 0.856 0.144
0.144 0.856 0.856
0.856 0.144 0.144
0.856 0.144 0.856
0.856 0.856 0.144
0.250 0.250 0.250
0.750 0.750 0.750
0.339 0.339 0.661
0.339 0.661 0.339
0.339 0.661 0.661
0.661 0.339 0.339
0.661 0.339 0.661
0.661 0.661 0.339
```

---

Of them, version 1 has the highest stability.

---

Version 1
The following is a DFT calculation (PBE-GGA) of an optimized crystal structure of Li8CaMg2.

Properties
- D(E_F): 6.3 states/eV/cell
- Symmetry: No. 12
- Crystal system: monoclinic

Geometry as POSCAR:
```
Li8CaMg2
1.0
4.009 -7.650 0.000
4.009 7.650 0.000
-3.441 0.000 3.970
Li Ca Mg
8 1 2
direct
0.097 0.368 0.731
0.213 0.787 0.000
0.368 0.097 0.731
0.499 0.499 0.248
0.501 0.501 0.752
0.632 0.903 0.269
0.787 0.213 0.000
0.903 0.632 0.269
0.000 0.000 0.000
0.323 0.677 0.500
0.677 0.323 0.500
```

---

Version 2
The following is a DFT calculation (PBE-GGA) of an optimized crystal structure of Li8CaMg2.

Properties
- D(E_F): 4.4 states/eV/cell
- Symmetry: No. 12
- Crystal system: monoclinic

Geometry as POSCAR:
```
Li8CaMg2
1.0
4.281 -7.437 0.000
4.281 7.437 0.000
-2.459 0.000 4.011
Li Ca Mg
8 1 2
direct
0.051 0.383 0.718
0.189 0.189 0.212
0.195 0.805 0.000
0.383 0.051 0.718
0.617 0.949 0.282
0.805 0.195 0.000
0.811 0.811 0.788
0.949 0.617 0.282
0.500 0.500 0.000
0.339 0.661 0.500
0.661 0.339 0.500
```

---

Of them, version 1 has the highest stability.

---

Version 1
The following is a DFT calculation (PBE-GGA) of an optimized crystal structure of Li5Ca2Mg5.

Properties
- D(E_F): 5.8 states/eV/cell
- Symmetry: No. 47
- Crystal system: orthorhombic

Geometry as POSCAR:
```
Li5Ca2Mg5
1.0
4.897 0.000 0.000
0.000 5.916 0.000
0.000 0.000 10.448
Li Ca Mg
5 2 5
direct
0.000 0.000 0.000
0.000 0.249 0.248
0.000 0.249 0.752
0.000 0.751 0.248
0.000 0.751 0.752
0.500 0.000 0.500
0.500 0.500 0.000
0.000 0.500 0.500
0.500 0.000 0.167
0.500 0.000 0.833
0.500 0.500 0.324
0.500 0.500 0.676
```

---

Version 2
The following is a DFT calculation (PBE-GGA) of an optimized crystal structure of Li5Ca2Mg5.

Properties
- D(E_F): 6.2 states/eV/cell
- Symmetry: No. 47
- Crystal system: orthorhombic

Geometry as POSCAR:
```
Li5Ca2Mg5
1.0
4.786 0.000 0.000
0.000 6.053 0.000
0.000 0.000 10.397
Li Ca Mg
5 2 5
direct
0.000 0.000 0.000
0.500 0.000 0.163
0.500 0.000 0.837
0.500 0.500 0.333
0.500 0.500 0.667
0.500 0.000 0.500
0.500 0.500 0.000
0.000 0.250 0.244
0.000 0.250 0.756
0.000 0.500 0.500
0.000 0.750 0.244
0.000 0.750 0.756
```

---

Of them, version 1 has the highest stability.

---

Version 1
The following is a DFT calculation (PBE-GGA) of an optimized crystal structure of LiCaMg2Ni.

Properties
- D(E_F): 2.8 states/eV/cell
- Symmetry: No. 123
- Crystal system: tetragonal

Geometry as POSCAR:
```
LiCaMg2Ni
1.0
4.974 0.000 0.000
0.000 4.974 0.000
0.000 0.000 5.204
Li Ca Mg Ni
1 1 2 1
direct
0.000 0.000 0.000
0.500 0.500 0.000
0.000 0.500 0.500
0.500 0.000 0.500
0.500 0.500 0.500
```

---

Version 2
The following is a DFT calculation (PBE-GGA) of an optimized crystal structure of LiCaMg2Ni.

Properties
- D(E_F): 2.4 states/eV/cell
- Symmetry: No. 123
- Crystal system: tetragonal

Geometry as POSCAR:
```
LiCaMg2Ni
1.0
4.897 0.000 0.000
0.000 4.897 0.000
0.000 0.000 4.842
Li Ca Mg Ni
1 1 2 1
direct
0.000 0.000 0.000
0.500 0.500 0.000
0.000 0.500 0.500
0.500 0.000 0.500
0.000 0.000 0.500
```

---

Of them, version 2 has the highest stability.

---

Version 1
The following is a DFT calculation (PBE-GGA) of an optimized crystal structure of LiCaMg2Pd.

Properties
- D(E_F): 2.8 states/eV/cell
- Symmetry: No. 123
- Crystal system: tetragonal

Geometry as POSCAR:
```
LiCaMg2Pd
1.0
5.120 0.000 0.000
0.000 5.120 0.000
0.000 0.000 5.421
Li Ca Mg Pd
1 1 2 1
direct
0.000 0.000 0.000
0.500 0.500 0.000
0.000 0.500 0.500
0.500 0.000 0.500
0.500 0.500 0.500
```

---

Version 2
The following is a DFT calculation (PBE-GGA) of an optimized crystal structure of LiCaMg2Pd.

Properties
- D(E_F): 2.3 states/eV/cell
- Symmetry: No. 123
- Crystal system: tetragonal

Geometry as POSCAR:
```
LiCaMg2Pd
1.0
5.045 0.000 0.000
0.000 5.045 0.000
0.000 0.000 4.938
Li Ca Mg Pd
1 1 2 1
direct
0.000 0.000 0.000
0.500 0.500 0.000
0.000 0.500 0.500
0.500 0.000 0.500
0.000 0.000 0.500
```

---

Of them, version 2 has the highest stability.

---

Version 1
The following is a DFT calculation (PBE-GGA) of an optimized crystal structure of LiCa2MgPd.

Properties
- D(E_F): 1.7 states/eV/cell
- Symmetry: No. 123
- Crystal system: tetragonal

Geometry as POSCAR:
```
LiCa2MgPd
1.0
5.542 0.000 0.000
0.000 5.542 0.000
0.000 0.000 5.165
Li Ca Mg Pd
1 2 1 1
direct
0.000 0.000 0.000
0.000 0.500 0.500
0.500 0.000 0.500
0.500 0.500 0.000
0.500 0.500 0.500
```

---

Version 2
The following is a DFT calculation (PBE-GGA) of an optimized crystal structure of LiCa2MgPd.

Properties
- D(E_F): 3.1 states/eV/cell
- Symmetry: No. 123
- Crystal system: tetragonal

Geometry as POSCAR:
```
LiCa2MgPd
1.0
5.561 0.000 0.000
0.000 5.561 0.000
0.000 0.000 4.879
Li Ca Mg Pd
1 2 1 1
direct
0.000 0.000 0.000
0.000 0.500 0.500
0.500 0.000 0.500
0.500 0.500 0.000
0.000 0.000 0.500
```

---

Of them, version 1 has the highest stability.

---

Version 1
The following is a DFT calculation (PBE-GGA) of an optimized crystal structure of LiCa2MgPt.

Properties
- D(E_F): 2.0 states/eV/cell
- Symmetry: No. 123
- Crystal system: tetragonal

Geometry as POSCAR:
```
LiCa2MgPt
1.0
5.547 0.000 0.000
0.000 5.547 0.000
0.000 0.000 5.142
Li Ca Mg Pt
1 2 1 1
direct
0.000 0.000 0.000
0.000 0.500 0.500
0.500 0.000 0.500
0.500 0.500 0.000
0.500 0.500 0.500
```

---

Version 2
The following is a DFT calculation (PBE-GGA) of an optimized crystal structure of LiCa2MgPt.

Properties
- D(E_F): 2.4 states/eV/cell
- Symmetry: No. 123
- Crystal system: tetragonal

Geometry as POSCAR:
```
LiCa2MgPt
1.0
5.540 0.000 0.000
0.000 5.540 0.000
0.000 0.000 4.888
Li Ca Mg Pt
1 2 1 1
direct
0.000 0.000 0.000
0.000 0.500 0.500
0.500 0.000 0.500
0.500 0.500 0.000
0.000 0.000 0.500
```

---

Of them, version 1 has the highest stability.

---

Version 1
The following is a DFT calculation (PBE-GGA) of an optimized crystal structure of LiCaMgRh.

Properties
- D(E_F): 2.1 states/eV/cell
- Symmetry: No. 8
- Crystal system: monoclinic

Geometry as POSCAR:
```
LiCaMgRh
1.0
2.388 -2.387 0.000
2.388 2.387 0.000
-0.005 0.000 7.384
Li Ca Mg Rh
1 1 1 1
direct
0.000 0.000 0.000
0.500 0.500 0.648
0.498 0.498 0.230
0.999 0.999 0.403
```

---

Version 2
The following is a DFT calculation (PBE-GGA) of an optimized crystal structure of LiCaMgRh.

Properties
- D(E_F): 2.0 states/eV/cell
- Symmetry: No. 216
- Crystal system: cubic

Geometry as POSCAR:
```
LiCaMgRh
1.0
0.000 3.388 3.388
3.388 0.000 3.388
3.388 3.388 0.000
Li Ca Mg Rh
1 1 1 1
direct
0.000 0.000 0.000
0.750 0.750 0.750
0.250 0.250 0.250
0.500 0.500 0.500
```

---

Of them, version 2 has the highest stability.